## MgSnSbO6 (PBE)

Data for a geometry-optimized MgSnSbO6 structure.

Cell and atoms, written as POSCAR:
```
MgSnSbO6
1.0
-4.8395 -1.5546 1.6649
4.3844 -1.7660 2.5035
-0.3409 6.9552 5.5034
Sn O Sb Mg
2 12 2 2
Cartesian
-1.8501 0.1137 3.3203
1.0541 3.5209 6.3516
-0.5668 2.1987 6.1886
2.6502 -1.3753 3.7474
-0.2292 1.4358 3.4833
1.0626 -0.1742 5.5981
1.4355 0.2595 1.6061
-3.4462 5.0099 5.9245
-3.5124 2.2397 5.9543
-0.5078 4.9159 6.2252
-1.8587 3.8087 4.0738
-0.2882 -1.2813 3.4467
-2.2315 3.3751 8.0658
2.7164 1.3949 3.7175
-2.0206 3.5913 6.0720
1.2245 0.0432 3.5999
0.0000 0.0000 0.0000
-0.1705 3.4776 2.7517
```

## Properties
Crystal system = trigonal
Density = 5.45 g/cm³
Space-group type = P-31c
ΔE_f (raw) = -1.5712 eV/atom
M_tot = 1.0 μB per formula unit